Record 1
The following is a DFT calculation (PBE-GGA) of CdGa2AsW after structural relaxation.

Results
formation energy from the elements = 1.56 eV/atom
M_tot = 3.911 μB per formula unit
electronic total energy = -16.8 eV per cell
space-group type = P4/mmm (123)
N(E_F) = 0.499 states/eV/atom

Unit cell a=4.9459 b=5.2492 c=4.9459 alpha=90.00 beta=90.00 gamma=90.00
Site moments in Bohr magnetons follow the coordinates.
Fractional positions:
1 W 0.5000 0.5000 0.5000  3.04
2 Ga 0.5000 0.0000 0.0000  0.00
3 As 0.0000 0.5000 0.0000  -0.11
4 Ga 0.0000 0.0000 0.5000  0.00
5 Cd 0.0000 0.0000 0.0000  0.00

Record 2
The following is a DFT calculation (PBE-GGA) of CdGe6As8 after structural relaxation.

Results
formation energy from the elements = 0.08 eV/atom
M_tot = 0.000 μB per formula unit
electronic total energy = -64.6 eV per cell
space-group type = R-3 (148)
N(E_F) = 0.229 states/eV/atom

Unit cell a=7.0471 b=7.0471 c=7.0471 alpha=94.19 beta=94.19 gamma=94.19
Fractional positions:
1 Ge 0.6674 0.3659 0.8261
2 As 0.3641 0.1478 0.8574
3 Ge 0.8261 0.6674 0.3659
4 Ge 0.3659 0.8261 0.6674
5 As 0.1426 0.6359 0.8522
6 Ge 0.1739 0.3326 0.6341
7 Cd 0.0000 0.0000 0.0000
8 As 0.8522 0.1426 0.6359
9 As 0.6359 0.8522 0.1426
10 As 0.6999 0.6999 0.6999
11 As 0.3001 0.3001 0.3001
12 As 0.1478 0.8574 0.3641
13 Ge 0.3326 0.6341 0.1739
14 Ge 0.6341 0.1739 0.3326
15 As 0.8574 0.3641 0.1478

Record 3
The following is a DFT calculation (PBE-GGA) of CdGe2As after structural relaxation.

Results
formation energy from the elements = 0.16 eV/atom
energy above the lowest structure with this stoichiometry = 0 meV per atom
M_tot = 0.000 μB per formula unit
electronic total energy = -28.3 eV per cell
space-group type = I-42d (122)
N(E_F) = 0.340 states/eV/atom

Unit cell a=6.1479 b=6.1479 c=7.1695 alpha=64.61 beta=64.61 gamma=90.00
Fractional positions:
1 Ge 0.3750 0.3954 0.7500
2 Ge 0.8750 0.8546 0.7500
3 As 0.2500 0.7500 0.5000
4 Cd 0.7500 0.2500 0.5000
5 As 0.5000 0.5000 0.0000
6 Ge 0.6046 0.1250 0.2500
7 Cd 0.0000 0.0000 0.0000
8 Ge 0.1454 0.6250 0.2500

Record 4
The following is a DFT calculation (PBE-GGA) of Cd2GeAs5 after structural relaxation.

Results
formation energy from the elements = 0.18 eV/atom
M_tot = 0.000 μB per formula unit
electronic total energy = -28.2 eV per cell
space-group type = P1 (1)
N(E_F) = 0.407 states/eV/atom

Unit cell a=5.6548 b=5.6646 c=7.6596 alpha=101.01 beta=101.09 gamma=79.69
Fractional positions:
1 As 0.7320 0.7311 0.0812
2 As 0.2769 0.2791 0.1127
3 As 0.2839 0.8317 0.0817
4 As 0.8091 0.8084 0.5128
5 Ge 0.8909 0.8904 0.8502
6 Cd 0.6887 0.2654 0.4173
7 As 0.8289 0.2832 0.0806
8 Cd 0.2667 0.6876 0.4174

Record 5
The following is a DFT calculation (PBE-GGA) of Cd2GeAs2 after structural relaxation.

Results
formation energy from the elements = 0.21 eV/atom
energy above the lowest structure with this stoichiometry = 0 meV per atom
M_tot = 0.000 μB per formula unit
electronic total energy = -29.4 eV per cell
space-group type = P4/mbm (127)
N(E_F) = 0.483 states/eV/atom

Unit cell a=7.6607 b=7.6607 c=3.7736 alpha=90.00 beta=90.00 gamma=90.00
Fractional positions:
1 Cd 0.6354 0.8646 0.5000
2 As 0.6755 0.1755 0.0000
3 Cd 0.3646 0.1354 0.5000
4 As 0.3245 0.8245 0.0000
5 Cd 0.8646 0.3646 0.5000
6 Ge 0.0000 0.0000 0.0000
7 Cd 0.1354 0.6354 0.5000
8 As 0.8245 0.6755 0.0000
9 As 0.1755 0.3245 0.0000
10 Ge 0.5000 0.5000 0.0000

Record 6
The following is a DFT calculation (PBE-GGA) of CdGe2As2 after structural relaxation.

Results
formation energy from the elements = 0.29 eV/atom
energy above the lowest structure with this stoichiometry = 68 meV per atom
M_tot = 0.000 μB per formula unit
electronic total energy = -18.0 eV per cell
space-group type = I4/mmm (139)
N(E_F) = 0.483 states/eV/atom

Unit cell a=4.3965 b=4.3965 c=6.9161 alpha=71.47 beta=71.47 gamma=90.00
Fractional positions:
1 Ge 0.6224 0.6224 0.7551
2 Ge 0.3776 0.3776 0.2449
3 Cd 0.0000 0.0000 0.0000
4 As 0.7500 0.2500 0.5000
5 As 0.2500 0.7500 0.5000

Record 7
The following is a DFT calculation (PBE-GGA) of Cd2Ge2As after structural relaxation.

Results
formation energy from the elements = 0.31 eV/atom
energy above the lowest structure with this stoichiometry = 57 meV per atom
M_tot = 0.000 μB per formula unit
electronic total energy = -28.3 eV per cell
space-group type = P4/mbm (127)
N(E_F) = 0.500 states/eV/atom

Unit cell a=8.3775 b=8.3775 c=3.1033 alpha=90.00 beta=90.00 gamma=90.00
Fractional positions:
1 Cd 0.8166 0.6834 0.0000
2 As 0.0000 0.0000 0.0000
3 As 0.5000 0.5000 0.0000
4 Cd 0.1834 0.3166 0.0000
5 Ge 0.1132 0.6132 0.5000
6 Ge 0.8868 0.3868 0.5000
7 Cd 0.3166 0.8166 0.0000
8 Cd 0.6834 0.1834 0.0000
9 Ge 0.3868 0.1132 0.5000
10 Ge 0.6132 0.8868 0.5000

Record 8
The following is a DFT calculation (PBE-GGA) of Cd2GeAs2 after structural relaxation.

Results
formation energy from the elements = 0.31 eV/atom
energy above the lowest structure with this stoichiometry = 98 meV per atom
M_tot = 0.000 μB per formula unit
electronic total energy = -28.4 eV per cell
space-group type = P4/mbm (127)
N(E_F) = 0.506 states/eV/atom

Unit cell a=8.1831 b=8.1831 c=3.2661 alpha=90.00 beta=90.00 gamma=90.00
Fractional positions:
1 As 0.6645 0.8355 0.5000
2 As 0.3355 0.1645 0.5000
3 Cd 0.1357 0.3643 0.0000
4 Ge 0.5000 0.5000 0.0000
5 As 0.1645 0.6645 0.5000
6 Cd 0.3643 0.8643 0.0000
7 As 0.8355 0.3355 0.5000
8 Ge 0.0000 0.0000 0.0000
9 Cd 0.8643 0.6357 0.0000
10 Cd 0.6357 0.1357 0.0000

Record 9
The following is a DFT calculation (PBE-GGA) of CdGe2As2 after structural relaxation.

Results
formation energy from the elements = 0.22 eV/atom
energy above the lowest structure with this stoichiometry = 0 meV per atom
M_tot = 0.000 μB per formula unit
electronic total energy = -18.3 eV per cell
space-group type = I4/mmm (139)
N(E_F) = 0.505 states/eV/atom

Unit cell a=4.5880 b=4.5880 c=6.6433 alpha=69.80 beta=69.80 gamma=90.00
Fractional positions:
1 Cd 0.0000 0.0000 0.0000
2 As 0.3648 0.3648 0.2704
3 Ge 0.7500 0.2500 0.5000
4 Ge 0.2500 0.7500 0.5000
5 As 0.6352 0.6352 0.7296

Record 10
The following is a DFT calculation (PBE-GGA) of CdGe2As2 after structural relaxation.

Results
formation energy from the elements = 0.25 eV/atom
energy above the lowest structure with this stoichiometry = 21 meV per atom
M_tot = 0.000 μB per formula unit
electronic total energy = -36.4 eV per cell
space-group type = P4/mbm (127)
N(E_F) = 0.393 states/eV/atom

Unit cell a=7.6787 b=7.6787 c=3.6003 alpha=90.00 beta=90.00 gamma=90.00
Fractional positions:
1 As 0.1673 0.3327 0.0000
2 As 0.6673 0.1673 0.0000
3 Ge 0.3493 0.1507 0.5000
4 Cd 0.5000 0.5000 0.0000
5 As 0.8327 0.6673 0.0000
6 Ge 0.8493 0.3493 0.5000
7 Ge 0.1507 0.6507 0.5000
8 Cd 0.0000 0.0000 0.0000
9 Ge 0.6507 0.8493 0.5000
10 As 0.3327 0.8327 0.0000

Record 11
The following is a DFT calculation (PBE-GGA) of Cd2GeAs after structural relaxation.

Results
formation energy from the elements = 0.20 eV/atom
energy above the lowest structure with this stoichiometry = 0 meV per atom
M_tot = 0.000 μB per formula unit
electronic total energy = -20.6 eV per cell
space-group type = I-42d (122)
N(E_F) = 0.562 states/eV/atom

Unit cell a=7.7997 b=7.7997 c=6.2471 alpha=51.37 beta=51.37 gamma=90.00
Fractional positions:
1 Cd 0.3750 0.3622 0.7500
2 As 0.7500 0.2500 0.5000
3 Cd 0.1122 0.6250 0.2500
4 As 0.0000 0.0000 0.0000
5 Cd 0.6378 0.1250 0.2500
6 Cd 0.8750 0.8878 0.7500
7 Ge 0.5000 0.5000 0.0000
8 Ge 0.2500 0.7500 0.5000

Record 12
The following is a DFT calculation (PBE-GGA) of Cd2Ge2As after structural relaxation.

Results
formation energy from the elements = 0.26 eV/atom
energy above the lowest structure with this stoichiometry = 0 meV per atom
M_tot = 0.000 μB per formula unit
electronic total energy = -28.9 eV per cell
space-group type = P4/mbm (127)
N(E_F) = 0.561 states/eV/atom

Unit cell a=7.0495 b=7.0495 c=4.4951 alpha=90.00 beta=90.00 gamma=90.00
Fractional positions:
1 Ge 0.6335 0.1335 0.0000
2 As 0.0000 0.0000 0.0000
3 Cd 0.1741 0.6741 0.5000
4 Cd 0.3259 0.1741 0.5000
5 Ge 0.3665 0.8665 0.0000
6 Ge 0.1335 0.3665 0.0000
7 Cd 0.8259 0.3259 0.5000
8 Cd 0.6741 0.8259 0.5000
9 Ge 0.8665 0.6335 0.0000
10 As 0.5000 0.5000 0.0000